No. 1
Entry from OQMD: an optimized crystal structure of SiTcSn2 (GGA-PBE).

Structure (POSCAR):
```
SiTcSn2
1.0
0.0000 3.3693 3.3693
3.3693 0.0000 3.3693
3.3693 3.3693 0.0000
Si Tc Sn
1 1 2
direct
0.0000 0.0000 0.0000
0.7500 0.7500 0.7500
0.2500 0.2500 0.2500
0.5000 0.5000 0.5000
```

Calculated values
Symmetry   F-43m (216)
Raw total energy   -21.4 eV per cell

***

No. 2
Entry from OQMD: an optimized crystal structure of ScZn2Ni (GGA-PBE).

Structure (POSCAR):
```
ScZn2Ni
1.0
0.0000 3.1000 3.1000
3.1000 0.0000 3.1000
3.1000 3.1000 0.0000
Sc Zn Ni
1 2 1
direct
0.0000 0.0000 0.0000
0.5000 0.5000 0.5000
0.7500 0.7500 0.7500
0.2500 0.2500 0.2500
```

Calculated values
Symmetry   F-43m (216)
Raw total energy   -15.8 eV per cell

***

No. 3
Entry from OQMD: an optimized crystal structure of ErCuTe2 (GGA-PBE).

Structure (POSCAR):
```
ErCuTe2
1.0
4.3463 0.0000 0.0000
-2.1731 3.7640 0.0000
0.0000 0.0000 6.8784
Er Cu Te
1 1 2
direct
0.0000 0.0000 0.0000
0.3333 0.6667 0.6281
0.3333 0.6667 0.2443
0.6667 0.3333 0.7255
```

Calculated values
Symmetry   P3m1 (156)
Raw total energy   -18.0 eV per cell

***

No. 4
Entry from OQMD: an optimized crystal structure of TbHfMg (GGA-PBE).

Structure (POSCAR):
```
TbHfMg
1.0
0.0000 3.4996 3.4996
3.4996 0.0000 3.4996
3.4996 3.4996 0.0000
Tb Hf Mg
1 1 1
direct
0.0000 0.0000 0.0000
0.5000 0.5000 0.5000
0.7500 0.7500 0.7500
```

Calculated values
Symmetry   F-43m (216)
E above lowest polymorph   0.000 eV per atom

***

No. 5
Entry from OQMD: an optimized crystal structure of KLuTa (GGA-PBE).

Structure (POSCAR):
```
KLuTa
1.0
0.0000 3.8222 3.8222
3.8222 0.0000 3.8222
3.8222 3.8222 0.0000
K Lu Ta
1 1 1
direct
0.0000 0.0000 0.0000
0.5000 0.5000 0.5000
0.2500 0.2500 0.2500
```

Calculated values
Symmetry   F-43m (216)
E above lowest polymorph   0.000 eV per atom

***

No. 6
Entry from OQMD: an optimized crystal structure of Sm2SnSb2 (GGA-PBE).

Structure (POSCAR):
```
Sm2SnSb2
1.0
0.0000 7.8000 3.6278
5.0675 0.0000 3.6278
5.0675 7.8000 0.0000
Sm Sn Sb
4 2 4
direct
0.1441 0.8559 0.2569
0.5069 0.9931 0.3941
0.8559 0.1441 0.7431
0.9931 0.5069 0.1059
0.0976 0.0976 0.9024
0.3476 0.3476 0.1524
0.0383 0.6191 0.7022
0.5478 0.6097 0.2117
0.6097 0.5478 0.6309
0.6191 0.0383 0.6403
```

Calculated values
Symmetry   Fdd2 (43)
Raw total energy   -50.6 eV per cell

***

No. 7
Entry from OQMD: an optimized crystal structure of CdInFeNi (GGA-PBE).

Structure (POSCAR):
```
CdInFeNi
1.0
0.0000 3.1659 3.1659
3.1659 0.0000 3.1659
3.1659 3.1659 0.0000
Cd In Fe Ni
1 1 1 1
direct
0.0000 0.0000 0.0000
0.5000 0.5000 0.5000
0.7500 0.7500 0.7500
0.2500 0.2500 0.2500
```

Calculated values
Symmetry   F-43m (216)
E above lowest polymorph   0.000 eV per atom

***

No. 8
Entry from OQMD: an optimized crystal structure of TaZnInCo (GGA-PBE).

Structure (POSCAR):
```
TaZnInCo
1.0
0.0000 3.1759 3.1759
3.1759 0.0000 3.1759
3.1759 3.1759 0.0000
Ta Zn In Co
1 1 1 1
direct
0.0000 0.0000 0.0000
0.7500 0.7500 0.7500
0.2500 0.2500 0.2500
0.5000 0.5000 0.5000
```

Calculated values
Symmetry   F-43m (216)
E above lowest polymorph   0.282 eV per atom

***

No. 9
Entry from OQMD: an optimized crystal structure of HfAgHgAu (GGA-PBE).

Structure (POSCAR):
```
HfAgHgAu
1.0
0.0000 3.3678 3.3678
3.3678 0.0000 3.3678
3.3678 3.3678 0.0000
Hf Ag Hg Au
1 1 1 1
direct
0.0000 0.0000 0.0000
0.7500 0.7500 0.7500
0.2500 0.2500 0.2500
0.5000 0.5000 0.5000
```

Calculated values
Symmetry   F-43m (216)
E above lowest polymorph   0.113 eV per atom

***

No. 10
Entry from OQMD: an optimized crystal structure of LiTbMo (GGA-PBE).

Structure (POSCAR):
```
LiTbMo
1.0
0.0000 3.1353 3.1353
3.1353 0.0000 3.1353
3.1353 3.1353 0.0000
Li Tb Mo
1 1 1
direct
0.0000 0.0000 0.0000
0.2500 0.2500 0.2500
0.7500 0.7500 0.7500
```

Calculated values
Symmetry   F-43m (216)
E above lowest polymorph   0.000 eV per atom

***

No. 11
Entry from OQMD: an optimized crystal structure of Cu5Ag4 (GGA-PBE).

Structure (POSCAR):
```
Cu5Ag4
1.0
-1.4353 1.6435 13.8974
1.4353 -1.6435 13.8974
1.4353 1.6435 -13.8974
Cu Ag
5 4
direct
0.0000 0.0000 0.0000
0.0919 0.0919 0.0000
0.4535 0.4535 0.0000
0.5465 0.5465 0.0000
0.9081 0.9081 0.0000
0.2163 0.2163 0.0000
0.3513 0.3513 0.0000
0.6487 0.6487 0.0000
0.7837 0.7837 0.0000
```

Calculated values
Symmetry   Immm (71)
E above lowest polymorph   0.013 eV per atom

***

No. 12
Entry from OQMD: an optimized crystal structure of NdMg2 (GGA-PBE).

Structure (POSCAR):
```
NdMg2
1.0
8.5848 0.0000 0.0000
0.0000 5.2580 0.0000
-2.4719 0.0000 14.5806
Nd Mg
8 16
direct
0.1438 0.2500 0.2880
0.1458 0.2500 0.7445
0.1891 0.7500 0.8963
0.3042 0.7500 0.6429
0.6958 0.2500 0.3571
0.8109 0.2500 0.1037
0.8542 0.7500 0.2555
0.8562 0.7500 0.7120
0.0765 0.2500 0.5113
0.1430 0.2500 0.0231
0.1466 0.7500 0.1341
0.2307 0.7500 0.4166
0.4136 0.2500 0.5075
0.4461 0.2500 0.1591
0.4539 0.7500 0.2759
0.4658 0.2500 0.9360
0.5342 0.7500 0.0640
0.5461 0.2500 0.7241
0.5539 0.7500 0.8409
0.5864 0.7500 0.4925
0.7693 0.2500 0.5834
0.8534 0.2500 0.8659
0.8570 0.7500 0.9769
0.9235 0.7500 0.4887
```

Calculated values
Symmetry   P2_1/m (11)
Raw total energy   -63.3 eV per cell

***

No. 13
Entry from OQMD: an optimized crystal structure of Tm3Al2InNiAu2 (GGA-PBE).

Structure (POSCAR):
```
Tm3Al2InNiAu2
1.0
3.8069 0.0000 0.0000
0.0000 6.3941 3.7385
0.0000 -6.3941 3.7385
Tm Al In Ni Au
3 2 1 1 2
direct
0.0000 0.0000 0.0000
0.0000 0.1911 0.6000
0.0000 0.6000 0.1911
0.5000 0.6028 0.8370
0.5000 0.8370 0.6028
0.5000 0.3618 0.3618
0.0000 0.6234 0.6234
0.5000 0.2655 0.9238
0.5000 0.9238 0.2655
```

Calculated values
Symmetry   Amm2 (38)
Raw total energy   -42.4 eV per cell

***

No. 14
Entry from OQMD: an optimized crystal structure of Ba2HfBe (GGA-PBE).

Structure (POSCAR):
```
Ba2HfBe
1.0
0.0000 3.9020 3.9020
3.9020 0.0000 3.9020
3.9020 3.9020 0.0000
Ba Hf Be
2 1 1
direct
0.0000 0.0000 0.0000
0.2500 0.2500 0.2500
0.7500 0.7500 0.7500
0.5000 0.5000 0.5000
```

Calculated values
Symmetry   F-43m (216)
Raw total energy   -13.6 eV per cell

***

No. 15
Entry from OQMD: an optimized crystal structure of Dy2TmIn3Ni2Ag (GGA-PBE).

Structure (POSCAR):
```
Dy2TmIn3Ni2Ag
1.0
3.8727 0.0000 0.0000
0.0000 6.5256 3.7730
0.0000 -6.5256 3.7730
Dy Tm In Ni Ag
2 1 3 2 1
direct
0.0000 0.2053 0.7947
0.0000 0.7947 0.2053
0.0000 0.3825 0.3825
0.5000 0.0675 0.0675
0.5000 0.5214 0.7930
0.5000 0.7930 0.5214
0.5000 0.1286 0.4598
0.5000 0.4598 0.1286
0.0000 0.7928 0.7928
```

Calculated values
Symmetry   Amm2 (38)
Raw total energy   -40.0 eV per cell

***

No. 16
Entry from OQMD: an optimized crystal structure of PrAuSeO (GGA-PBE).

Structure (POSCAR):
```
PrAuSeO
1.0
9.2903 0.0000 0.0000
0.0000 5.9343 0.0000
-0.0374 0.0000 5.8775
Pr Au Se O
4 4 4 4
direct
0.1250 0.9998 0.2508
0.1250 0.5002 0.7508
0.8750 0.0002 0.7492
0.8750 0.4998 0.2492
0.4995 0.2492 0.2522
0.4995 0.2508 0.7522
0.5005 0.7492 0.2478
0.5005 0.7508 0.7478
0.2833 0.9999 0.7500
0.2833 0.5001 0.2500
0.7167 0.0001 0.2500
0.7167 0.4999 0.7500
0.0001 0.2501 0.0000
0.0001 0.2499 0.5000
0.9999 0.7499 0.0000
0.9999 0.7501 0.5000
```

Calculated values
Symmetry   P2_1/c (14)
Raw total energy   -95.7 eV per cell

***

No. 17
Entry from OQMD: an optimized crystal structure of LuPPtO (GGA-PBE).

Structure (POSCAR):
```
LuPPtO
1.0
3.1984 0.0000 0.0000
0.0000 7.3674 0.0000
0.0000 0.0000 5.3303
Lu P Pt O
2 2 2 2
direct
0.0000 0.1209 0.0000
0.0000 0.8791 0.5000
0.0000 0.4951 0.7950
0.0000 0.5049 0.2950
0.5000 0.2970 0.4074
0.5000 0.7030 0.9074
0.5000 0.0451 0.7239
0.5000 0.9549 0.2239
```

Calculated values
Symmetry   Pmc2_1 (26)
E above lowest polymorph   0.419 eV per atom

***

No. 18
Entry from OQMD: an optimized crystal structure of CuSnMo2 (GGA-PBE).

Structure (POSCAR):
```
CuSnMo2
1.0
0.0000 3.1883 3.1883
3.1883 0.0000 3.1883
3.1883 3.1883 0.0000
Cu Sn Mo
1 1 2
direct
0.0000 0.0000 0.0000
0.7500 0.7500 0.7500
0.2500 0.2500 0.2500
0.5000 0.5000 0.5000
```

Calculated values
Symmetry   F-43m (216)
Raw total energy   -28.2 eV per cell

***

No. 19
Entry from OQMD: an optimized crystal structure of PrGdBe2Ge2 (GGA-PBE).

Structure (POSCAR):
```
PrGdBe2Ge2
1.0
3.9792 0.0000 0.0000
-1.9896 3.4461 0.0000
0.0000 0.0000 8.4128
Pr Gd Be Ge
1 1 2 2
direct
0.0000 0.0000 0.0000
0.0000 0.0000 0.5000
0.3333 0.6667 0.7436
0.6667 0.3333 0.2564
0.3333 0.6667 0.2586
0.6667 0.3333 0.7414
```

Calculated values
Symmetry   P-3m1 (164)
Raw total energy   -30.0 eV per cell

***

No. 20
Entry from OQMD: an optimized crystal structure of HoErNi2Pb (GGA-PBE).

Structure (POSCAR):
```
HoErNi2Pb
1.0
3.6441 0.0000 0.0000
0.0000 1.9880 7.0883
0.0000 -1.9880 7.0883
Ho Er Ni Pb
1 1 2 1
direct
0.0000 0.0000 0.0000
0.0000 0.2817 0.2817
0.5000 0.4401 0.4401
0.5000 0.8412 0.8412
0.5000 0.6410 0.6410
```

Calculated values
Symmetry   Amm2 (38)
Raw total energy   -26.6 eV per cell